No. 1
Tl9Cd4In | PBE-GGA | optimized geometry

## Properties
energy relative to the elements = 0.69 eV/f.u.
space group = P6_3/mmc (194)

abc: 9.409 10.056 10.056
angles: 120.00 90.00 90.00
Fractional coordinates of all 28 atoms:
Tl (0.951, 0.193, 0.807)
Tl (0.549, 0.193, 0.807)
Tl (0.049, 0.807, 0.614)
Tl (0.250, 0.458, 0.542)
Tl (0.451, 0.386, 0.193)
Tl (0.451, 0.807, 0.193)
Tl (0.750, 0.917, 0.458)
Tl (0.750, 0.542, 0.458)
Tl (0.250, 0.458, 0.917)
Tl (0.750, 0.542, 0.083)
Tl (0.451, 0.807, 0.614)
Tl (0.049, 0.807, 0.193)
Tl (0.049, 0.386, 0.193)
Tl (0.549, 0.193, 0.386)
Tl (0.951, 0.193, 0.386)
Tl (0.951, 0.614, 0.807)
Tl (0.250, 0.083, 0.542)
Tl (0.549, 0.614, 0.807)
In (0.750, 0.333, 0.667)
In (0.250, 0.667, 0.333)
Cd (0.750, 0.891, 0.783)
Cd (0.500, 0.000, 0.000)
Cd (0.250, 0.109, 0.217)
Cd (0.000, 0.000, 0.000)
Cd (0.750, 0.891, 0.109)
Cd (0.250, 0.109, 0.891)
Cd (0.750, 0.217, 0.109)
Cd (0.250, 0.783, 0.891)

No. 2
Li2Mg2Al | PBE-GGA | optimized geometry

## Properties
energy relative to the elements = -0.41 eV/f.u.
energy relative to the lowest polymorph listed for this composition = 0.000 eV/atom
space group = P2_1/m (11)

abc: 4.805 8.063 7.792
angles: 140.73 90.00 90.00
Fractional coordinates of all 10 atoms:
Al (0.750, 0.708, 0.426)
Al (0.250, 0.292, 0.574)
Li (0.250, 0.636, 0.142)
Li (0.750, 0.532, 0.639)
Li (0.250, 0.468, 0.361)
Li (0.750, 0.364, 0.858)
Mg (0.250, 0.858, 0.964)
Mg (0.750, 0.954, 0.286)
Mg (0.250, 0.046, 0.714)
Mg (0.750, 0.142, 0.036)

No. 3
Er3TmC | PBE-GGA | optimized geometry

## Properties
energy relative to the elements = -0.19 eV/f.u.
space group = Pm-3m (221)

abc: 4.990 4.990 4.990
angles: 90.00 90.00 90.00
Fractional coordinates of all 5 atoms:
Er (0.000, 0.500, 0.000)
Er (0.500, 0.000, 0.000)
Er (0.000, 0.000, 0.500)
C (0.000, 0.000, 0.000)
Tm (0.500, 0.500, 0.500)

No. 4
Dy7Ho16Tm6 | PBE-GGA | optimized geometry

## Properties
energy relative to the elements = 7.38 eV/f.u.
space group = Fm-3m (225)

abc: 11.001 11.001 11.001
angles: 60.00 60.00 60.00
Fractional coordinates of all 29 atoms:
Ho (0.877, 0.370, 0.877)
Ho (0.048, 0.651, 0.651)
Ho (0.123, 0.630, 0.123)
Ho (0.952, 0.349, 0.349)
Ho (0.349, 0.349, 0.349)
Ho (0.877, 0.877, 0.877)
Ho (0.877, 0.877, 0.370)
Ho (0.123, 0.123, 0.630)
Ho (0.630, 0.123, 0.123)
Ho (0.123, 0.123, 0.123)
Ho (0.349, 0.952, 0.349)
Ho (0.651, 0.651, 0.651)
Ho (0.349, 0.349, 0.952)
Ho (0.651, 0.048, 0.651)
Ho (0.651, 0.651, 0.048)
Ho (0.370, 0.877, 0.877)
Dy (0.000, 0.000, 0.000)
Dy (0.500, 0.500, 0.000)
Dy (0.000, 0.500, 0.500)
Dy (0.000, 0.000, 0.500)
Dy (0.000, 0.500, 0.000)
Dy (0.500, 0.000, 0.500)
Dy (0.500, 0.000, 0.000)
Tm (0.273, 0.727, 0.273)
Tm (0.727, 0.273, 0.273)
Tm (0.273, 0.273, 0.727)
Tm (0.727, 0.727, 0.273)
Tm (0.727, 0.273, 0.727)
Tm (0.273, 0.727, 0.727)

No. 5
Sr2TaTe | PBE-GGA | optimized geometry

## Properties
energy relative to the lowest polymorph listed for this composition = 0.082 eV/atom
ΔE_f (raw) = 0.134 eV/atom
space group = Imm2 (44)

abc: 6.851 6.851 6.851
angles: 148.52 130.27 60.05
Fractional coordinates of all 4 atoms:
Ta (0.461, 0.461, 0.000)
Te (0.283, 0.783, 0.500)
Sr (0.030, 0.030, 0.000)
Sr (0.726, 0.226, 0.500)

No. 6
SrRe2Cl | PBE-GGA | optimized geometry

## Properties
energy relative to the lowest polymorph listed for this composition = 0.000 eV/atom
ΔE_f (raw) = -0.018 eV/atom
space group = Amm2 (38)

abc: 3.187 3.201 8.253
angles: 78.81 90.00 90.00
Fractional coordinates of all 4 atoms:
Sr (0.000, 0.562, 0.502)
Re (0.500, 0.212, 0.201)
Re (0.000, 0.788, 0.049)
Cl (0.500, 0.938, 0.748)

No. 7
Zr2GaS | PBE-GGA | optimized geometry

## Properties
energy relative to the lowest polymorph listed for this composition = 0.382 eV/atom
ΔE_f (raw) = -0.552 eV/atom
space group = Fm-3m (225)

abc: 4.703 4.703 4.703
angles: 60.00 60.00 60.00
Fractional coordinates of all 4 atoms:
Ga (0.500, 0.500, 0.500)
Zr (0.250, 0.250, 0.250)
Zr (0.750, 0.750, 0.750)
S (0.000, 0.000, 0.000)

No. 8
LiCeTmPt | PBE-GGA | optimized geometry

## Properties
energy relative to the elements = -2.14 eV/f.u.
space group = F-43m (216)

abc: 5.006 5.006 5.006
angles: 60.00 60.00 60.00
Fractional coordinates of all 4 atoms:
Li (0.750, 0.750, 0.750)
Ce (0.000, 0.000, 0.000)
Pt (0.250, 0.250, 0.250)
Tm (0.500, 0.500, 0.500)

No. 9
SrTl3Cd | PBE-GGA | optimized geometry

## Properties
energy relative to the elements = 2.79 eV/f.u.
energy relative to the lowest polymorph listed for this composition = 0.727 eV/atom
space group = Pm-3m (221)

abc: 6.346 6.346 6.346
angles: 90.00 90.00 90.00
Fractional coordinates of all 5 atoms:
Sr (0.000, 0.000, 0.000)
Tl (0.000, 0.000, 0.500)
Tl (0.500, 0.000, 0.000)
Tl (0.000, 0.500, 0.000)
Cd (0.500, 0.500, 0.500)

No. 10
Pr4Er8Tm | PBE-GGA | optimized geometry

## Properties
energy relative to the elements = 6.87 eV/f.u.
space group = R-3m (166)

abc: 7.788 7.788 7.788
angles: 90.17 90.17 90.17
Fractional coordinates of all 13 atoms:
Pr (0.000, 0.000, 0.000)
Pr (0.500, 0.500, 0.000)
Pr (0.500, 0.000, 0.500)
Pr (0.000, 0.500, 0.500)
Er (0.240, 0.240, 0.758)
Er (0.759, 0.759, 0.759)
Er (0.241, 0.241, 0.241)
Er (0.758, 0.240, 0.240)
Er (0.242, 0.760, 0.760)
Er (0.760, 0.242, 0.760)
Er (0.240, 0.758, 0.240)
Er (0.760, 0.760, 0.242)
Tm (0.500, 0.500, 0.500)

No. 11
ZrTaAu | PBE-GGA | optimized geometry

## Properties
energy relative to the elements = -0.53 eV/f.u.
energy relative to the lowest polymorph listed for this composition = 0.135 eV/atom
space group = Fmm2 (42)

abc: 6.800 6.802 3.000
angles: 77.22 77.29 25.49
Fractional coordinates of all 3 atoms:
Ta (0.339, 0.339, 0.661)
Zr (0.666, 0.666, 0.334)
Au (0.995, 0.995, 0.005)

No. 12
CsHg2Pt | PBE-GGA | optimized geometry

## Properties
energy relative to the elements = 1.00 eV/f.u.
energy relative to the lowest polymorph listed for this composition = 0.410 eV/atom
space group = Fm-3m (225)

abc: 5.506 5.506 5.506
angles: 60.00 60.00 60.00
Fractional coordinates of all 4 atoms:
Hg (0.250, 0.250, 0.250)
Hg (0.750, 0.750, 0.750)
Cs (0.000, 0.000, 0.000)
Pt (0.500, 0.500, 0.500)

No. 13
Pm5Pt2Pb5 | PBE-GGA | optimized geometry

## Properties
energy relative to the elements = -7.92 eV/f.u.
space group = C2/m (12)

abc: 4.723 8.872 8.681
angles: 76.19 74.21 74.56
Fractional coordinates of all 12 atoms:
Pm (0.635, 0.656, 0.074)
Pm (0.330, 0.016, 0.324)
Pm (0.365, 0.344, 0.926)
Pm (0.670, 0.984, 0.676)
Pm (0.500, 0.500, 0.500)
Pt (0.848, 0.550, 0.753)
Pt (0.152, 0.450, 0.247)
Pb (0.946, 0.751, 0.358)
Pb (0.748, 0.263, 0.242)
Pb (0.054, 0.249, 0.642)
Pb (0.252, 0.737, 0.758)
Pb (0.000, 0.000, 0.000)

No. 14
Ho5Ge2C | PBE-GGA | optimized geometry

## Properties
energy relative to the elements = -2.47 eV/f.u.
space group = Cmcm (63)

abc: 5.549 6.578 12.999
angles: 90.00 90.00 114.95
Fractional coordinates of all 16 atoms:
Ho (0.056, 0.113, 0.124)
Ho (0.339, 0.678, 0.109)
Ho (0.700, 0.399, 0.250)
Ho (0.661, 0.322, 0.891)
Ho (0.944, 0.887, 0.876)
Ho (0.056, 0.113, 0.376)
Ho (0.339, 0.678, 0.391)
Ho (0.944, 0.887, 0.624)
Ho (0.661, 0.322, 0.609)
Ho (0.300, 0.601, 0.750)
Ge (0.824, 0.649, 0.433)
Ge (0.176, 0.351, 0.567)
Ge (0.824, 0.649, 0.067)
Ge (0.176, 0.351, 0.933)
C (0.202, 0.404, 0.250)
C (0.798, 0.596, 0.750)

No. 15
SrTaBiO6 | PBE-GGA | optimized geometry

## Properties
ΔE_f (raw) = -2.150 eV/atom
space group = P-31c (163)

abc: 5.542 5.542 10.757
angles: 90.00 90.00 120.00
Fractional coordinates of all 18 atoms:
O (0.018, 0.631, 0.856)
O (0.631, 0.614, 0.144)
O (0.982, 0.614, 0.356)
O (0.386, 0.018, 0.144)
O (0.614, 0.982, 0.856)
O (0.386, 0.369, 0.356)
O (0.369, 0.386, 0.856)
O (0.369, 0.982, 0.644)
O (0.614, 0.631, 0.644)
O (0.018, 0.386, 0.644)
O (0.982, 0.369, 0.144)
O (0.631, 0.018, 0.356)
Ta (0.333, 0.667, 0.750)
Ta (0.667, 0.333, 0.250)
Sr (0.000, 0.000, 0.500)
Sr (0.000, 0.000, 0.000)
Bi (0.667, 0.333, 0.750)
Bi (0.333, 0.667, 0.250)

No. 16
LiY2Sc | PBE-GGA | optimized geometry

## Properties
energy relative to the elements = 0.60 eV/f.u.
energy relative to the lowest polymorph listed for this composition = 0.073 eV/atom
space group = Fm-3m (225)

abc: 5.356 5.356 5.356
angles: 60.00 60.00 60.00
Fractional coordinates of all 4 atoms:
Y (0.250, 0.250, 0.250)
Y (0.750, 0.750, 0.750)
Li (0.000, 0.000, 0.000)
Sc (0.500, 0.500, 0.500)

No. 17
TmUNi4 | PBE-GGA | optimized geometry

## Properties
energy relative to the elements = -1.69 eV/f.u.
space group = F-43m (216)

abc: 5.019 5.019 5.019
angles: 60.00 60.00 60.00
Fractional coordinates of all 6 atoms:
Tm (0.000, 0.000, 0.000)
Ni (0.625, 0.125, 0.625)
Ni (0.125, 0.625, 0.625)
Ni (0.625, 0.625, 0.625)
Ni (0.625, 0.625, 0.125)
U (0.250, 0.250, 0.250)

No. 18
TaRuW2 | PBE-GGA | optimized geometry

## Properties
energy relative to the elements = 0.42 eV/f.u.
energy relative to the lowest polymorph listed for this composition = 0.182 eV/atom
space group = P4mm (99)

abc: 2.796 2.796 8.320
angles: 90.00 90.00 90.00
Fractional coordinates of all 4 atoms:
Ta (0.500, 0.500, 0.731)
Ru (0.000, 0.000, 0.491)
W (0.000, 0.000, 0.007)
W (0.500, 0.500, 0.272)

No. 19
CaSc2Ru | PBE-GGA | optimized geometry

## Properties
energy relative to the elements = 0.55 eV/f.u.
energy relative to the lowest polymorph listed for this composition = 0.425 eV/atom
space group = P4/mmm (123)

abc: 4.682 4.690 3.875
angles: 90.00 90.00 90.00
Fractional coordinates of all 4 atoms:
Sc (0.000, 0.000, 0.000)
Sc (0.500, 0.500, 0.000)
Ca (0.500, 0.000, 0.500)
Ru (0.000, 0.500, 0.500)

No. 20
InNiPt2 | PBE-GGA | optimized geometry

## Properties
energy relative to the elements = 0.08 eV/f.u.
space group = I-42d (122)

abc: 3.874 3.874 9.575
angles: 78.33 78.33 90.00
Fractional coordinates of all 8 atoms:
Ni (0.500, 0.500, 0.000)
Ni (0.250, 0.750, 0.500)
Pt (0.143, 0.625, 0.250)
Pt (0.875, 0.857, 0.750)
Pt (0.375, 0.393, 0.750)
Pt (0.607, 0.125, 0.250)
In (0.000, 0.000, 0.000)
In (0.750, 0.250, 0.500)